Entry 1:
Computed, not measured: Li6Ga12Pd after structural relaxation at the PBE level of DFT.

Cell and atoms, written as CIF:
```
data_Li6Ga12Pd
_cell_length_a 10.0691
_cell_length_b 10.0691
_cell_length_c 10.8483
_cell_angle_alpha 90.00
_cell_angle_beta 90.00
_cell_angle_gamma 120.00
_symmetry_space_group_name_H-M 'R -3'
_symmetry_Int_Tables_number 148
_symmetry_space_group_name_Hall '-R 3'
loop_
_atom_site_label
_atom_site_fract_x
_atom_site_fract_y
_atom_site_fract_z
_atom_site_occupancy
Li1 0.0250 0.4311 0.2118 1
Ga1 0.0516 0.1885 0.3172 1
Ga2 0.0548 0.8567 0.9050 1
Pd1 0.0000 0.0000 0.5000 1
```

Entry 2:
Computed, not measured: Li2Ga7Pd2 after structural relaxation at the PBE level of DFT.

Cell and atoms, written as CIF:
```
data_Li2Ga7Pd2
_cell_length_a 6.731
_cell_length_b 7.818
_cell_length_c 6.832
_cell_angle_alpha 90.00
_cell_angle_beta 103.69
_cell_angle_gamma 90.00
_symmetry_space_group_name_H-M 'C 1 2/m 1'
_symmetry_Int_Tables_number 12
loop_
_symmetry_equiv_pos_as_xyz
'x,y,z'
'-x,-y,-z'
'-x,y,-z'
'x,-y,z'
'x+1/2,y+1/2,z'
'-x+1/2,-y+1/2,-z'
'-x+1/2,y+1/2,-z'
'x+1/2,-y+1/2,z'
loop_
_atom_site_label
_atom_site_fract_x
_atom_site_fract_y
_atom_site_fract_z
_atom_site_occupancy
Li1 0.101 0.000 0.348 1
Ga1 0.000 0.500 0.500 1
Ga2 0.161 0.500 0.909 1
Ga3 0.226 0.190 0.689 1
Pd1 0.000 0.196 0.000 1
```

Entry 3:
# LiGa3Pd, optimized geometry, DFT PBE
data_LiGa3Pd
_cell_length_a 4.844
_cell_length_b 4.844
_cell_length_c 4.844
_cell_angle_alpha 90.00
_cell_angle_beta 90.00
_cell_angle_gamma 90.00
_symmetry_space_group_name_H-M 'P m -3 m'
_symmetry_Int_Tables_number 221
_symmetry_space_group_name_Hall '-P 4 2 3'
loop_
_atom_site_label
_atom_site_fract_x
_atom_site_fract_y
_atom_site_fract_z
_atom_site_occupancy
Li1 0.000 0.000 0.000 1
Ga1 0.000 0.500 0.500 1
Pd1 0.500 0.500 0.500 1
# Excess energy over the best structure of this formula in the dataset, kJ/mol of formula units: 143

Entry 4:
Computed, not measured: LiGaPd after structural relaxation at the PBE level of DFT.

Cell and atoms, written as CIF:
```
data_LiGaPd
_cell_length_a 3.223
_cell_length_b 3.223
_cell_length_c 8.271
_cell_angle_alpha 90.00
_cell_angle_beta 90.00
_cell_angle_gamma 90.00
_symmetry_space_group_name_H-M 'I 4 m m'
_symmetry_Int_Tables_number 107
_symmetry_space_group_name_Hall 'I 4 -2'
loop_
_atom_site_label
_atom_site_fract_x
_atom_site_fract_y
_atom_site_fract_z
_atom_site_occupancy
Li1 0.000 0.000 0.000 1
Ga1 0.000 0.000 0.671 1
Pd1 0.000 0.000 0.336 1
```

Entry 5:
Computed, not measured: LiGa2Pd6 after structural relaxation at the PBE level of DFT.

Cell and atoms, written as CIF:
```
data_LiGa2Pd6
_cell_length_a 12.911
_cell_length_b 5.814
_cell_length_c 4.145
_cell_angle_alpha 90.00
_cell_angle_beta 108.50
_cell_angle_gamma 90.00
_symmetry_space_group_name_H-M 'C 1 2/m 1'
_symmetry_Int_Tables_number 12
loop_
_symmetry_equiv_pos_as_xyz
'x,y,z'
'-x,-y,-z'
'-x,y,-z'
'x,-y,z'
'x+1/2,y+1/2,z'
'-x+1/2,-y+1/2,-z'
'-x+1/2,y+1/2,-z'
'x+1/2,-y+1/2,z'
loop_
_atom_site_label
_atom_site_fract_x
_atom_site_fract_y
_atom_site_fract_z
_atom_site_occupancy
Li1 0.000 0.000 0.000 1
Ga1 0.165 0.500 0.665 1
Pd1 0.000 0.245 0.500 1
Pd2 0.166 0.250 0.167 1
```

Entry 6:
# LiGa3Pd, optimized geometry, DFT PBE
data_LiGa3Pd
_cell_length_a 6.3495
_cell_length_b 6.3495
_cell_length_c 5.4111
_cell_angle_alpha 90.00
_cell_angle_beta 90.00
_cell_angle_gamma 120.00
_symmetry_space_group_name_H-M 'P 63/m m c'
_symmetry_Int_Tables_number 194
_symmetry_space_group_name_Hall '-P 6c 2c'
loop_
_atom_site_label
_atom_site_fract_x
_atom_site_fract_y
_atom_site_fract_z
_atom_site_occupancy
Li1 0.3333 0.6667 0.2500 1
Ga1 0.1958 0.3916 0.7500 1
Pd1 0.0000 0.0000 0.0000 1
# Excess energy over the best structure of this formula in the dataset, kJ/mol of formula units: 58

Entry 7:
# Li2Ga4Pd3, optimized geometry, DFT PBE
data_Li2Ga4Pd3
_cell_length_a 12.631
_cell_length_b 9.050
_cell_length_c 4.739
_cell_angle_alpha 90.00
_cell_angle_beta 98.51
_cell_angle_gamma 90.00
_symmetry_space_group_name_H-M 'C 1 2/c 1'
_symmetry_Int_Tables_number 15
loop_
_symmetry_equiv_pos_as_xyz
'x,y,z'
'-x,-y,-z'
'-x,y,-z+1/2'
'x,-y,z+1/2'
'x+1/2,y+1/2,z'
'-x+1/2,-y+1/2,-z'
'-x+1/2,y+1/2,-z+1/2'
'x+1/2,-y+1/2,z+1/2'
loop_
_atom_site_label
_atom_site_fract_x
_atom_site_fract_y
_atom_site_fract_z
_atom_site_occupancy
Li1 0.107 0.123 0.309 1
Ga1 0.057 0.370 0.031 1
Ga2 0.212 0.128 0.844 1
Pd1 0.000 0.134 0.750 1
Pd2 0.170 0.387 0.580 1
# Excess energy over the best structure of this formula in the dataset, kJ/mol of formula units: 0

Entry 8:
# Li2Ga4Pd, optimized geometry, DFT PBE
data_Li2Ga4Pd
_cell_length_a 3.842
_cell_length_b 3.842
_cell_length_c 8.179
_cell_angle_alpha 90.00
_cell_angle_beta 90.00
_cell_angle_gamma 90.00
_symmetry_space_group_name_H-M 'P 4/m m m'
_symmetry_Int_Tables_number 123
_symmetry_space_group_name_Hall '-P 4 2'
loop_
_atom_site_label
_atom_site_fract_x
_atom_site_fract_y
_atom_site_fract_z
_atom_site_occupancy
Li1 0.000 0.000 0.000 1
Li2 0.500 0.500 0.500 1
Ga1 0.000 0.500 0.245 1
Pd1 0.500 0.500 0.000 1
# Excess energy over the best structure of this formula in the dataset, kJ/mol of formula units: 10

Entry 9:
# Li6GaPd2, optimized geometry, DFT PBE
data_Li6GaPd2
_cell_length_a 7.159
_cell_length_b 13.488
_cell_length_c 2.933
_cell_angle_alpha 90.00
_cell_angle_beta 98.52
_cell_angle_gamma 90.00
_symmetry_space_group_name_H-M 'C 1 2/m 1'
_symmetry_Int_Tables_number 12
loop_
_symmetry_equiv_pos_as_xyz
'x,y,z'
'-x,-y,-z'
'-x,y,-z'
'x,-y,z'
'x+1/2,y+1/2,z'
'-x+1/2,-y+1/2,-z'
'-x+1/2,y+1/2,-z'
'x+1/2,-y+1/2,z'
loop_
_atom_site_label
_atom_site_fract_x
_atom_site_fract_y
_atom_site_fract_z
_atom_site_occupancy
Li1 0.174 0.174 0.333 1
Li2 0.178 0.000 0.856 1
Ga1 0.000 0.500 0.500 1
Pd1 0.000 0.344 0.000 1
# Excess energy over the best structure of this formula in the dataset, kJ/mol of formula units: 39

Entry 10:
Computed, not measured: LiGaPd2 after structural relaxation at the PBE level of DFT.

Cell and atoms, written as CIF:
```
data_LiGaPd2
_cell_length_a 4.115
_cell_length_b 4.115
_cell_length_c 3.315
_cell_angle_alpha 90.00
_cell_angle_beta 90.00
_cell_angle_gamma 90.00
_symmetry_space_group_name_H-M 'P 4/m m m'
_symmetry_Int_Tables_number 123
_symmetry_space_group_name_Hall '-P 4 2'
loop_
_atom_site_label
_atom_site_fract_x
_atom_site_fract_y
_atom_site_fract_z
_atom_site_occupancy
Li1 0.000 0.000 0.000 1
Ga1 0.500 0.500 0.000 1
Pd1 0.000 0.500 0.500 1
```

Entry 11:
Computed, not measured: LiGa6Pd12 after structural relaxation at the PBE level of DFT.

Cell and atoms, written as CIF:
```
data_LiGa6Pd12
_cell_length_a 10.8850
_cell_length_b 10.8850
_cell_length_c 9.8276
_cell_angle_alpha 90.00
_cell_angle_beta 90.00
_cell_angle_gamma 120.00
_symmetry_space_group_name_H-M 'R -3'
_symmetry_Int_Tables_number 148
_symmetry_space_group_name_Hall '-R 3'
loop_
_atom_site_label
_atom_site_fract_x
_atom_site_fract_y
_atom_site_fract_z
_atom_site_occupancy
Li1 0.0000 0.0000 0.0000 1
Ga1 0.0458 0.8355 0.6821 1
Pd1 0.0467 0.7984 0.9312 1
Pd2 0.0575 0.8111 0.4245 1
```

Entry 12:
# Li3Ga4Pd, optimized geometry, DFT PBE
data_Li3Ga4Pd
_cell_length_a 5.430
_cell_length_b 9.142
_cell_length_c 5.193
_cell_angle_alpha 90.00
_cell_angle_beta 90.00
_cell_angle_gamma 90.00
_symmetry_space_group_name_H-M 'I m m 2'
_symmetry_Int_Tables_number 44
loop_
_symmetry_equiv_pos_as_xyz
'x,y,z'
'-x,-y,z'
'-x,y,z'
'x,-y,z'
'x+1/2,y+1/2,z+1/2'
'-x+1/2,-y+1/2,z+1/2'
'-x+1/2,y+1/2,z+1/2'
'x+1/2,-y+1/2,z+1/2'
loop_
_atom_site_label
_atom_site_fract_x
_atom_site_fract_y
_atom_site_fract_z
_atom_site_occupancy
Li1 0.000 0.000 0.000 1
Li2 0.000 0.247 0.751 1
Ga1 0.000 0.264 0.254 1
Ga2 0.250 0.000 0.484 1
Pd1 0.000 0.500 0.528 1
# Excess energy over the best structure of this formula in the dataset, kJ/mol of formula units: 89

Entry 13:
# Li2Ga2Pd3, optimized geometry, DFT PBE
data_Li2Ga2Pd3
_cell_length_a 8.865
_cell_length_b 3.806
_cell_length_c 6.033
_cell_angle_alpha 90.00
_cell_angle_beta 93.59
_cell_angle_gamma 90.00
_symmetry_space_group_name_H-M 'C 1 2/m 1'
_symmetry_Int_Tables_number 12
loop_
_symmetry_equiv_pos_as_xyz
'x,y,z'
'-x,-y,-z'
'-x,y,-z'
'x,-y,z'
'x+1/2,y+1/2,z'
'-x+1/2,-y+1/2,-z'
'-x+1/2,y+1/2,-z'
'x+1/2,-y+1/2,z'
loop_
_atom_site_label
_atom_site_fract_x
_atom_site_fract_y
_atom_site_fract_z
_atom_site_occupancy
Li1 0.070 0.000 0.212 1
Ga1 0.214 0.000 0.665 1
Pd1 0.000 0.500 0.500 1
Pd2 0.143 0.500 0.926 1
# Excess energy over the best structure of this formula in the dataset, kJ/mol of formula units: 6

Entry 14:
# Li3Ga2Pd, optimized geometry, DFT PBE
data_Li3Ga2Pd
_cell_length_a 5.286
_cell_length_b 14.609
_cell_length_c 5.373
_cell_angle_alpha 90.00
_cell_angle_beta 90.00
_cell_angle_gamma 90.00
_symmetry_space_group_name_H-M 'I b a m'
_symmetry_Int_Tables_number 72
_symmetry_space_group_name_Hall '-I 2 2c'
loop_
_atom_site_label
_atom_site_fract_x
_atom_site_fract_y
_atom_site_fract_z
_atom_site_occupancy
Li1 0.000 0.000 0.250 1
Li2 0.181 0.181 0.000 1
Ga1 0.182 0.368 0.000 1
Pd1 0.000 0.500 0.250 1
# Excess energy over the best structure of this formula in the dataset, kJ/mol of formula units: 58

Entry 15:
Computed, not measured: LiGaPd2 after structural relaxation at the PBE level of DFT.

Cell and atoms, written as CIF:
```
data_LiGaPd2
_cell_length_a 5.198
_cell_length_b 2.996
_cell_length_c 8.047
_cell_angle_alpha 90.00
_cell_angle_beta 102.59
_cell_angle_gamma 90.00
_symmetry_space_group_name_H-M 'C 1 m 1'
_symmetry_Int_Tables_number 8
loop_
_symmetry_equiv_pos_as_xyz
'x,y,z'
'x,-y,z'
'x+1/2,y+1/2,z'
'x+1/2,-y+1/2,z'
loop_
_atom_site_label
_atom_site_fract_x
_atom_site_fract_y
_atom_site_fract_z
_atom_site_occupancy
Li1 0.000 0.000 0.000 1
Ga1 0.333 0.500 0.500 1
Pd1 0.247 0.000 0.742 1
Pd2 0.419 0.000 0.258 1
```

Entry 16:
# Li3GaPd, optimized geometry, DFT PBE
data_Li3GaPd
_cell_length_a 12.589
_cell_length_b 2.788
_cell_length_c 10.209
_cell_angle_alpha 90.00
_cell_angle_beta 115.39
_cell_angle_gamma 90.00
_symmetry_space_group_name_H-M 'C 1 2/m 1'
_symmetry_Int_Tables_number 12
loop_
_symmetry_equiv_pos_as_xyz
'x,y,z'
'-x,-y,-z'
'-x,y,-z'
'x,-y,z'
'x+1/2,y+1/2,z'
'-x+1/2,-y+1/2,-z'
'-x+1/2,y+1/2,-z'
'x+1/2,-y+1/2,z'
loop_
_atom_site_label
_atom_site_fract_x
_atom_site_fract_y
_atom_site_fract_z
_atom_site_occupancy
Li1 0.081 0.000 0.449 1
Li2 0.126 0.000 0.041 1
Li3 0.223 0.000 0.326 1
Ga1 0.142 0.000 0.772 1
Pd1 0.021 0.500 0.199 1
# Excess energy over the best structure of this formula in the dataset, kJ/mol of formula units: 59

Entry 17:
# Li3Ga6Pd2, optimized geometry, DFT PBE
data_Li3Ga6Pd2
_cell_length_a 3.799
_cell_length_b 3.799
_cell_length_c 27.149
_cell_angle_alpha 90.00
_cell_angle_beta 90.00
_cell_angle_gamma 90.00
_symmetry_space_group_name_H-M 'I 4/m m m'
_symmetry_Int_Tables_number 139
_symmetry_space_group_name_Hall '-I 4 2'
loop_
_atom_site_label
_atom_site_fract_x
_atom_site_fract_y
_atom_site_fract_z
_atom_site_occupancy
Li1 0.000 0.000 0.000 1
Li2 0.000 0.000 0.166 1
Ga1 0.000 0.000 0.270 1
Ga2 0.000 0.500 0.071 1
Pd1 0.000 0.000 0.363 1
# Excess energy over the best structure of this formula in the dataset, kJ/mol of formula units: 90

Entry 18:
# Li4Ga2Pd3, optimized geometry, DFT PBE
data_Li4Ga2Pd3
_cell_length_a 9.522
_cell_length_b 4.274
_cell_length_c 7.905
_cell_angle_alpha 90.00
_cell_angle_beta 126.00
_cell_angle_gamma 90.00
_symmetry_space_group_name_H-M 'C 1 2/m 1'
_symmetry_Int_Tables_number 12
loop_
_symmetry_equiv_pos_as_xyz
'x,y,z'
'-x,-y,-z'
'-x,y,-z'
'x,-y,z'
'x+1/2,y+1/2,z'
'-x+1/2,-y+1/2,-z'
'-x+1/2,y+1/2,-z'
'x+1/2,-y+1/2,z'
loop_
_atom_site_label
_atom_site_fract_x
_atom_site_fract_y
_atom_site_fract_z
_atom_site_occupancy
Li1 0.008 0.000 0.347 1
Li2 0.157 0.500 0.877 1
Ga1 0.168 0.500 0.230 1
Pd1 0.000 0.000 0.000 1
Pd2 0.178 0.500 0.566 1
# Excess energy over the best structure of this formula in the dataset, kJ/mol of formula units: 0

Entry 19:
# LiGa2Pd, optimized geometry, DFT PBE
data_LiGa2Pd
_cell_length_a 3.979
_cell_length_b 3.979
_cell_length_c 3.749
_cell_angle_alpha 90.00
_cell_angle_beta 90.00
_cell_angle_gamma 90.00
_symmetry_space_group_name_H-M 'P 4/m m m'
_symmetry_Int_Tables_number 123
_symmetry_space_group_name_Hall '-P 4 2'
loop_
_atom_site_label
_atom_site_fract_x
_atom_site_fract_y
_atom_site_fract_z
_atom_site_occupancy
Li1 0.000 0.000 0.000 1
Ga1 0.000 0.500 0.500 1
Pd1 0.500 0.500 0.000 1
# Excess energy over the best structure of this formula in the dataset, kJ/mol of formula units: 29

Entry 20:
Computed, not measured: Li2Ga5Pd5 after structural relaxation at the PBE level of DFT.

Cell and atoms, written as CIF:
```
data_Li2Ga5Pd5
_cell_length_a 12.509
_cell_length_b 3.431
_cell_length_c 9.339
_cell_angle_alpha 90.00
_cell_angle_beta 118.04
_cell_angle_gamma 90.00
_symmetry_space_group_name_H-M 'C 1 2/m 1'
_symmetry_Int_Tables_number 12
loop_
_symmetry_equiv_pos_as_xyz
'x,y,z'
'-x,-y,-z'
'-x,y,-z'
'x,-y,z'
'x+1/2,y+1/2,z'
'-x+1/2,-y+1/2,-z'
'-x+1/2,y+1/2,-z'
'x+1/2,-y+1/2,z'
loop_
_atom_site_label
_atom_site_fract_x
_atom_site_fract_y
_atom_site_fract_z
_atom_site_occupancy
Li1 0.063 0.000 0.246 1
Ga1 0.000 0.000 0.500 1
Ga2 0.159 0.000 0.004 1
Ga3 0.235 0.500 0.274 1
Pd1 0.000 0.500 0.000 1
Pd2 0.111 0.500 0.767 1
Pd3 0.151 0.500 0.487 1
```

What are the calculated formation energy values for these records? In order: -4.9, -3.7, -0.4, -1.6, -3.3, -1.3, -4.6, -1.7, -2.7, -2.7, -7.2, -2.0, -3.9, -1.9, -1.8, -1.6, -3.0, -4.8, -1.8, -7.1 eV/f.u..